PRuBr2 | GGA-PBE | relaxed

- Symmetry: R-3m, No. 166
- DOS at the Fermi energy: 0.711 states/eV per atom
- Total magnetic moment: 0.00 μB/cell
- ΔE_f (raw): 732 meV per atom

Geometry as CIF:
```
data_PRuBr2
_chemical_formula_sum 'P1 Ru1 Br2'
_symmetry_space_group_name_H-M 'P 1'
_symmetry_Int_Tables_number 1
_cell_length_a 8.247
_cell_length_b 8.247
_cell_length_c 8.247
_cell_angle_alpha 25.87
_cell_angle_beta 25.87
_cell_angle_gamma 25.87
loop_
_symmetry_equiv_pos_as_xyz
'x,y,z'
loop_
_atom_site_label
_atom_site_type_symbol
_atom_site_fract_x
_atom_site_fract_y
_atom_site_fract_z
_atom_site_occupancy
Br1 Br 0.109 0.109 0.109 1
Br2 Br 0.891 0.891 0.891 1
Ru1 Ru 0.500 0.500 0.500 1
P1 P 0.000 0.000 0.000 1
```

***

PRuBr2 | GGA-PBE | relaxed

- Symmetry: P4/mmm, No. 123
- DOS at the Fermi energy: 0.966 states/eV per atom
- Total magnetic moment: 0.66 μB/cell
- ΔE_f (raw): 985 meV per atom

Geometry as CIF:
```
data_PRuBr2
_chemical_formula_sum 'P1 Ru1 Br2'
_symmetry_space_group_name_H-M 'P 1'
_symmetry_Int_Tables_number 1
_cell_length_a 3.091
_cell_length_b 3.091
_cell_length_c 8.832
_cell_angle_alpha 90.00
_cell_angle_beta 90.00
_cell_angle_gamma 90.00
loop_
_symmetry_equiv_pos_as_xyz
'x,y,z'
loop_
_atom_site_label
_atom_site_type_symbol
_atom_site_fract_x
_atom_site_fract_y
_atom_site_fract_z
_atom_site_occupancy
Br1 Br 0.000 0.000 0.934 1
Br2 Br 0.000 0.000 0.566 1
Ru1 Ru 0.500 0.500 0.750 1
P1 P 0.500 0.500 0.250 1
```

***

PRuBr2 | GGA-PBE | relaxed

- Symmetry: R-3m, No. 166
- DOS at the Fermi energy: 1.067 states/eV per atom
- Total magnetic moment: 0.51 μB/cell
- ΔE_f (raw): 748 meV per atom

Geometry as CIF:
```
data_PRuBr2
_chemical_formula_sum 'P1 Ru1 Br2'
_symmetry_space_group_name_H-M 'P 1'
_symmetry_Int_Tables_number 1
_cell_length_a 8.692
_cell_length_b 8.692
_cell_length_c 8.692
_cell_angle_alpha 23.09
_cell_angle_beta 23.09
_cell_angle_gamma 23.09
loop_
_symmetry_equiv_pos_as_xyz
'x,y,z'
loop_
_atom_site_label
_atom_site_type_symbol
_atom_site_fract_x
_atom_site_fract_y
_atom_site_fract_z
_atom_site_occupancy
Br1 Br 0.023 0.023 0.023 1
Br2 Br 0.477 0.477 0.477 1
P1 P 0.250 0.250 0.250 1
Ru1 Ru 0.750 0.750 0.750 1
```